(1)
ScCdHg2: optimized geometry, PBE.

SG	I-4m2, No. 119
formation energy	-159	meV per atom

Lattice parameters (Å, degrees): 5.3480 5.3480 5.3480 129.69 129.69 73.90
Closest atoms and distances in Å follow each position.
Element x y z (fractional)
Cd1 0.7500 0.2500 0.5000  8 Hg 3.12-3.21, 4 Sc 3.12
Hg1 0.0000 0.0000 0.0000  4 Hg 3.12, 4 Cd 3.12, 4 Sc 3.21
Hg2 0.2500 0.7500 0.5000  4 Hg 3.12, 4 Sc 3.12, 4 Cd 3.21
Sc1 0.5000 0.5000 0.0000  8 Hg 3.12-3.21, 4 Cd 3.12

(2)
Sc2CdHg: optimized geometry, PBE.

energy relative to the lowest polymorph listed for this composition	300	meV per atom
SG	F-43m, No. 216
formation energy	-62	meV per atom

Lattice parameters (Å, degrees): 4.9847 4.9847 4.9847 60.00 60.00 60.00
Closest atoms and distances in Å follow each position.
Element x y z (fractional)
Cd1 0.5000 0.5000 0.5000  4 Sc 3.05, 4 Hg 3.05
Hg1 0.7500 0.7500 0.7500  4 Cd 3.05, 4 Sc 3.05
Sc1 0.0000 0.0000 0.0000  4 Hg 3.05, 4 Sc 3.05
Sc2 0.2500 0.2500 0.2500  4 Cd 3.05, 4 Sc 3.05

(3)
ScCd6Hg: optimized geometry, PBE.

energy relative to the lowest polymorph listed for this composition	70	meV per atom
SG	P-1, No. 2
formation energy	-13	meV per atom

Lattice parameters (Å, degrees): 7.7052 8.6143 6.3947 42.04 42.87 50.19
Closest atoms and distances in Å follow each position.
Element x y z (fractional)
Sc1 0.5000 0.5000 0.5000  10 Cd 3.08-3.29
Cd1 0.9706 0.4467 0.8403  6 Cd 2.96-3.24, 1 Hg 3.05, 2 Sc 3.08
Cd2 0.7450 0.9425 0.7245  5 Cd 2.92-3.08, 1 Hg 3.17, 1 Sc 3.18
Cd3 0.4513 0.2693 0.3299  6 Cd 2.90-3.24, 2 Hg 3.06-3.09, 1 Sc 3.17
Cd4 0.2550 0.0575 0.2755  5 Cd 2.92-3.08, 1 Hg 3.17, 1 Sc 3.18
Cd5 0.0294 0.5533 0.1597  6 Cd 2.96-3.24, 1 Hg 3.05, 2 Sc 3.08
Cd6 0.5487 0.7307 0.6701  6 Cd 2.90-3.24, 2 Hg 3.06-3.09, 1 Sc 3.17
Hg1 0.0000 0.0000 0.0000  8 Cd 3.05-3.17

(4)
ScCd6Hg8: optimized geometry, PBE.

energy relative to the lowest polymorph listed for this composition	20	meV per atom
SG	R-3, No. 148
formation energy	5	meV per atom

Lattice parameters (Å, degrees): 8.8531 8.8531 8.8531 55.61 55.61 55.61
Closest atoms and distances in Å follow each position.
Element x y z (fractional)
Sc1 0.0000 0.0000 0.0000  6 Hg 3.01, 6 Cd 3.12
Cd1 0.5999 0.2402 0.2412  4 Cd 2.97-3.29, 1 Sc 3.12, 3 Hg 3.20-3.23
Cd2 0.2412 0.5999 0.2402  4 Cd 2.97-3.29, 1 Sc 3.12, 3 Hg 3.20-3.23
Cd3 0.2402 0.2412 0.5999  4 Cd 2.97-3.29, 1 Sc 3.12, 3 Hg 3.20-3.23
Cd4 0.4001 0.7598 0.7588  4 Cd 2.97-3.29, 1 Sc 3.12, 3 Hg 3.20-3.23
Cd5 0.7588 0.4001 0.7598  4 Cd 2.97-3.29, 1 Sc 3.12, 3 Hg 3.20-3.23
Cd6 0.7598 0.7588 0.4001  4 Cd 2.97-3.29, 1 Sc 3.12, 3 Hg 3.20-3.23
Hg1 0.2329 0.2329 0.2329  3 Hg 2.94
Hg2 0.7671 0.7671 0.7671  3 Hg 2.94
Hg3 0.9775 0.3630 0.9790  4 Hg 2.91-3.18, 1 Sc 3.01, 3 Cd 3.20-3.23
Hg4 0.9790 0.9775 0.3630  4 Hg 2.91-3.18, 1 Sc 3.01, 3 Cd 3.20-3.23
Hg5 0.3630 0.9790 0.9775  4 Hg 2.91-3.18, 1 Sc 3.01, 3 Cd 3.20-3.23
Hg6 0.0225 0.6370 0.0210  4 Hg 2.91-3.18, 1 Sc 3.01, 3 Cd 3.20-3.23
Hg7 0.0210 0.0225 0.6370  4 Hg 2.91-3.18, 1 Sc 3.01, 3 Cd 3.20-3.23
Hg8 0.6370 0.0210 0.0225  4 Hg 2.91-3.18, 1 Sc 3.01, 3 Cd 3.20-3.23

(5)
ScCd5Hg4: optimized geometry, PBE.

SG	C2/m, No. 12
formation energy	-22	meV per atom

Lattice parameters (Å, degrees): 4.3813 7.6727 8.8716 120.30 104.30 90.00
Closest atoms and distances in Å follow each position.
Element x y z (fractional)
Sc1 0.5000 0.0000 0.0000  6 Hg 2.95-3.02
Cd1 0.8049 0.2145 0.6099  3 Cd 3.06-3.12, 3 Hg 3.14-3.30
Cd2 0.8305 0.8403 0.6609  4 Hg 2.95-3.07, 3 Cd 3.06-3.12
Cd3 0.1695 0.1597 0.3391  4 Hg 2.95-3.07, 3 Cd 3.06-3.12
Cd4 0.5000 0.5000 0.0000  6 Hg 2.88-3.09
Cd5 0.1951 0.7855 0.3901  3 Cd 3.06-3.12, 3 Hg 3.14-3.30
Hg1 0.3381 0.5688 0.6761  6 Cd 2.96-3.30, 1 Sc 3.02, 2 Hg 3.28
Hg2 0.0041 0.7480 0.0082  4 Cd 2.88-3.14, 2 Sc 2.95
Hg3 0.6619 0.4312 0.3239  6 Cd 2.96-3.30, 1 Sc 3.02, 2 Hg 3.28
Hg4 0.9959 0.2520 0.9918  4 Cd 2.88-3.14, 2 Sc 2.95

(6)
ScCd5Hg8: optimized geometry, PBE.

SG	I-4, No. 82
formation energy	-28	meV per atom

Lattice parameters (Å, degrees): 7.7273 7.7273 7.7273 105.33 118.12 105.33
Closest atoms and distances in Å follow each position.
Element x y z (fractional)
Sc1 0.2500 0.5000 0.7500  8 Hg 2.96
Cd1 0.9552 0.2430 0.0066  5 Hg 2.91-3.07, 2 Cd 3.23
Cd2 0.9934 0.9487 0.2364  5 Hg 2.91-3.07, 2 Cd 3.23
Cd3 0.7636 0.7570 0.7123  5 Hg 2.91-3.07, 2 Cd 3.23
Cd4 0.5000 0.0000 0.5000  8 Hg 3.18-3.33, 4 Cd 3.30
Cd5 0.2877 0.0513 0.0448  5 Hg 2.91-3.07, 2 Cd 3.23
Hg1 0.0748 0.6305 0.0002  4 Cd 2.91-3.07, 1 Sc 2.96, 2 Hg 3.18-3.25
Hg2 0.9998 0.0746 0.6302  4 Cd 2.91-3.07, 1 Sc 2.96, 2 Hg 3.18-3.25
Hg3 0.7671 0.3361 0.4342  1 Sc 2.96, 2 Cd 3.05-3.18, 3 Hg 3.10-3.25
Hg4 0.5658 0.3329 0.9019  1 Sc 2.96, 2 Cd 3.05-3.18, 3 Hg 3.10-3.25
Hg5 0.5689 0.6671 0.2329  1 Sc 2.96, 2 Cd 3.05-3.18, 3 Hg 3.10-3.25
Hg6 0.5556 0.9254 0.9252  4 Cd 2.91-3.07, 1 Sc 2.96, 2 Hg 3.18-3.25
Hg7 0.3698 0.3695 0.4444  4 Cd 2.91-3.07, 1 Sc 2.96, 2 Hg 3.18-3.25
Hg8 0.0981 0.6639 0.4311  1 Sc 2.96, 2 Cd 3.05-3.18, 3 Hg 3.10-3.25

(7)
Sc2CdHg: optimized geometry, PBE.

energy relative to the lowest polymorph listed for this composition	152	meV per atom
SG	C2/m, No. 12
formation energy	-209	meV per atom

Lattice parameters (Å, degrees): 5.0469 5.0469 5.9567 78.95 78.95 39.14
Closest atoms and distances in Å follow each position.
Element x y z (fractional)
Cd1 0.7500 0.7500 0.7500  6 Sc 3.04-3.07, 2 Cd 3.38
Hg1 0.2500 0.2500 0.2500  6 Sc 3.03-3.06, 2 Hg 3.38
Sc1 0.9979 0.9979 0.0026  3 Hg 3.03-3.06, 3 Cd 3.04-3.07, 2 Sc 3.38
Sc2 0.5021 0.5021 0.4974  3 Hg 3.03-3.06, 3 Cd 3.04-3.07, 2 Sc 3.38

(8)
Sc3Cd2Hg8: optimized geometry, PBE.

SG	R-3m, No. 166
formation energy	13	meV per atom

Lattice parameters (Å, degrees): 5.9194 5.9194 11.2396 74.73 74.73 60.00
Closest atoms and distances in Å follow each position.
Element x y z (fractional)
Sc1 0.0000 0.0000 0.0000  6 Cd 3.58, 12 Hg 3.82-4.01
Sc2 0.8104 0.8104 0.5687  10 Hg 2.92-3.12
Sc3 0.1896 0.1896 0.4313  10 Hg 2.92-3.12
Cd1 0.6331 0.6331 0.1007  4 Hg 2.78-3.06
Cd2 0.3669 0.3669 0.8993  4 Hg 2.78-3.06
Hg1 0.7195 0.7195 0.8414  1 Cd 2.78, 1 Sc 2.92
Hg2 0.2805 0.2805 0.1586  1 Cd 2.78, 1 Sc 2.92
Hg3 0.2217 0.7200 0.3384  4 Hg 2.95-2.97, 3 Sc 3.00-3.12, 1 Cd 3.06
Hg4 0.7200 0.2217 0.3384  4 Hg 2.95-2.97, 3 Sc 3.00-3.12, 1 Cd 3.06
Hg5 0.7200 0.7200 0.3384  4 Hg 2.95-2.97, 3 Sc 3.00-3.12, 1 Cd 3.06
Hg6 0.2800 0.7783 0.6616  4 Hg 2.95-2.97, 3 Sc 3.00-3.12, 1 Cd 3.06
Hg7 0.7783 0.2800 0.6616  4 Hg 2.95-2.97, 3 Sc 3.00-3.12, 1 Cd 3.06
Hg8 0.2800 0.2800 0.6616  4 Hg 2.95-2.97, 3 Sc 3.00-3.12, 1 Cd 3.06

(9)
Sc3CdHg2: optimized geometry, PBE.

SG	P-3m1, No. 164
formation energy	-384	meV per atom

Lattice parameters (Å, degrees): 4.9809 4.9809 12.2353 90.00 90.00 120.00
Closest atoms and distances in Å follow each position.
Element x y z (fractional)
Sc1 0.3333 0.6667 0.4188  4 Hg 2.99-3.04, 4 Cd 3.06-3.07
Sc2 0.6667 0.3333 0.0803  7 Hg 3.04-3.11, 1 Cd 3.07
Sc3 0.0000 0.0000 0.7518  5 Hg 3.02-3.08, 3 Cd 3.05
Sc4 0.0000 0.0000 0.2482  5 Hg 3.02-3.08, 3 Cd 3.05
Sc5 0.3333 0.6667 0.9197  7 Hg 3.04-3.11, 1 Cd 3.07
Sc6 0.6667 0.3333 0.5812  4 Hg 2.99-3.04, 4 Cd 3.06-3.07
Cd1 0.3333 0.6667 0.6688  8 Sc 3.05-3.07
Cd2 0.6667 0.3333 0.3312  8 Sc 3.05-3.07
Hg1 0.0000 0.0000 0.5000  8 Sc 3.04-3.08
Hg2 0.3333 0.6667 0.1741  8 Sc 2.99-3.11
Hg3 0.6667 0.3333 0.8259  8 Sc 2.99-3.11
Hg4 0.0000 0.0000 0.0000  8 Sc 3.04

(10)
ScCdHg: optimized geometry, PBE.

SG	P3m1, No. 156
formation energy	-159	meV per atom

Lattice parameters (Å, degrees): 3.4391 3.4391 6.8778 90.00 90.00 120.00
Closest atoms and distances in Å follow each position.
Element x y z (fractional)
Cd1 0.0000 0.0000 0.9992  3 Sc 3.06, 3 Hg 3.07
Hg1 0.6667 0.3333 0.3399  3 Sc 2.97, 3 Cd 3.07
Sc1 0.3333 0.6667 0.6608  3 Hg 2.97, 3 Cd 3.06

(11)
Sc11Cd9Hg4: optimized geometry, PBE.

SG	Cmmm, No. 65
formation energy	-308	meV per atom

Lattice parameters (Å, degrees): 3.5112 12.8270 12.8270 112.64 90.00 90.00
Closest atoms and distances in Å follow each position.
Element x y z (fractional)
Sc1 0.0000 0.5886 0.9362  2 Hg 2.91, 6 Cd 3.08-3.14
Sc2 0.0000 0.4114 0.0638  2 Hg 2.91, 6 Cd 3.08-3.14
Sc3 0.0000 0.9362 0.5886  2 Hg 2.91, 6 Cd 3.08-3.14
Sc4 0.0000 0.0638 0.4114  2 Hg 2.91, 6 Cd 3.08-3.14
Sc5 0.0000 0.6472 0.3528  4 Hg 2.97, 4 Cd 3.12
Sc6 0.0000 0.3528 0.6472  4 Hg 2.97, 4 Cd 3.12
Sc7 0.0000 0.8343 0.1657  8 Cd 3.07-3.12, 2 Sc 3.39
Sc8 0.0000 0.1657 0.8343  8 Cd 3.07-3.12, 2 Sc 3.39
Sc9 0.0000 0.0000 0.0000  8 Cd 3.03
Sc10 0.0000 0.7370 0.7370  4 Hg 2.97, 4 Cd 3.12
Sc11 0.0000 0.2630 0.2630  4 Hg 2.97, 4 Cd 3.12
Cd1 0.5000 0.6309 0.1461  8 Sc 3.07-3.14, 1 Cd 3.17, 1 Hg 3.18
Cd2 0.5000 0.3691 0.8539  8 Sc 3.07-3.14, 1 Cd 3.17, 1 Hg 3.18
Cd3 0.5000 0.1461 0.6309  8 Sc 3.07-3.14, 1 Cd 3.17, 1 Hg 3.18
Cd4 0.5000 0.8539 0.3691  8 Sc 3.07-3.14, 1 Cd 3.17, 1 Hg 3.18
Cd5 0.5000 0.7943 0.9528  8 Sc 3.03-3.12, 1 Hg 3.21, 1 Cd 3.38
Cd6 0.5000 0.2057 0.0472  8 Sc 3.03-3.12, 1 Hg 3.21, 1 Cd 3.38
Cd7 0.5000 0.9528 0.7943  8 Sc 3.03-3.12, 1 Hg 3.21, 1 Cd 3.38
Cd8 0.5000 0.0472 0.2057  8 Sc 3.03-3.12, 1 Hg 3.21, 1 Cd 3.38
Cd9 0.5000 0.5000 0.5000  4 Hg 2.94
Hg1 0.5000 0.5535 0.7446  6 Sc 2.91-2.97, 3 Cd 2.94-3.21
Hg2 0.5000 0.4465 0.2554  6 Sc 2.91-2.97, 3 Cd 2.94-3.21
Hg3 0.5000 0.7446 0.5535  6 Sc 2.91-2.97, 3 Cd 2.94-3.21
Hg4 0.5000 0.2554 0.4465  6 Sc 2.91-2.97, 3 Cd 2.94-3.21

(12)
ScCdHg: optimized geometry, PBE.

SG	Imm2, No. 44
formation energy	-165	meV per atom

Lattice parameters (Å, degrees): 5.2890 5.2890 5.2890 143.91 129.80 63.37
Closest atoms and distances in Å follow each position.
Element x y z (fractional)
Cd1 0.0019 0.0019 0.0000  5 Hg 2.98-3.17, 5 Sc 3.03-3.14, 2 Cd 3.28
Hg1 0.3326 0.3326 0.0000  5 Cd 2.98-3.17, 5 Sc 3.00-3.16, 2 Hg 3.28
Sc1 0.6655 0.6655 0.0000  5 Hg 3.00-3.16, 5 Cd 3.03-3.14, 2 Sc 3.28